Entry 1:
# YMg2TlBr, relaxed, DFT PBEsol
# **Raw formation energy**: 1.51 eV/f.u.
data_YMg2TlBr
_chemical_formula_sum 'Y1 Mg2 Tl1 Br1'
_symmetry_space_group_name_H-M 'P 4/m m m'
_symmetry_Int_Tables_number 123
_symmetry_space_group_name_Hall '-P 4 2'
_cell_length_a 5.2330
_cell_length_b 5.2330
_cell_length_c 5.9538
_cell_angle_alpha 90.00
_cell_angle_beta 90.00
_cell_angle_gamma 90.00
loop_
_atom_site_label
_atom_site_type_symbol
_atom_site_fract_x
_atom_site_fract_y
_atom_site_fract_z
Y1 Y 0.0000 0.0000 0.0000
Mg1 Mg 0.0000 0.5000 0.5000
Tl1 Tl 0.5000 0.5000 0.5000
Br1 Br 0.5000 0.5000 0.0000

Entry 2:
# Cd2NiRh, relaxed, DFT PBEsol
# **DFT formation energy**: -0.0137 eV/atom
data_Cd2NiRh
_chemical_formula_sum 'Cd2 Ni1 Rh1'
_symmetry_space_group_name_H-M 'P 4/m m m'
_symmetry_Int_Tables_number 123
_symmetry_space_group_name_Hall '-P 4 2'
_cell_length_a 4.3762
_cell_length_b 4.3762
_cell_length_c 3.2010
_cell_angle_alpha 90.00
_cell_angle_beta 90.00
_cell_angle_gamma 90.00
loop_
_atom_site_label
_atom_site_type_symbol
_atom_site_fract_x
_atom_site_fract_y
_atom_site_fract_z
Cd1 Cd 0.0000 0.5000 0.0000
Ni1 Ni 0.0000 0.0000 0.5000
Rh1 Rh 0.5000 0.5000 0.5000

| no. | total energy (Ha/atom) |
| --- | --- |
| 1 | -0.0973 |
| 2 | -0.1538 |